Record 1
VASP calculation (PBE) on a relaxed structure of CsTeH3.

a = 5.947 Å, b = 5.237 Å, c = 8.693 Å
α = 107.54°, β = 95.38°, γ = 90.00°
Positions (direct):
Cs1 0.272 0.607 0.214
Cs2 0.728 0.393 0.786
Te1 0.221 0.889 0.777
Te2 0.779 0.111 0.223
H1 0.708 0.011 0.021
H2 0.292 0.989 0.979
H3 0.305 0.256 0.511
H4 0.695 0.744 0.489
H5 0.389 0.224 0.448
H6 0.611 0.776 0.552

Computed properties:
Excess energy over the best structure of this formula in the dataset: 0.000 eV per formula unit
Density: 3.4 g cm⁻³


Record 2
VASP calculation (PBE) on a relaxed structure of Mg5Mn.

a = 6.810 Å, b = 6.810 Å, c = 4.312 Å
α = 90.00°, β = 90.00°, γ = 141.31°
Positions (direct):
Mg1 0.341 0.659 0.500
Mg2 0.162 0.838 0.000
Mg3 0.000 0.000 0.500
Mg4 0.838 0.162 0.000
Mg5 0.659 0.341 0.500
Mn1 0.500 0.500 0.000

Computed properties:
Density: 2.3 g cm⁻³
Calculated formation energy: 0.1274 eV/atom


Record 3
VASP calculation (PBE) on a relaxed structure of TeRhBr2.

a = 13.040 Å, b = 13.040 Å, c = 13.040 Å
α = 13.90°, β = 13.90°, γ = 13.90°
Positions (direct):
Te1 0.500 0.500 0.500
Rh1 0.000 0.000 0.000
Br1 0.939 0.939 0.939
Br2 0.061 0.061 0.061

Computed properties:
Density: 5.8 g cm⁻³
Energy relative to the elements, uncorrected: 0.336 eV/atom


Record 4
VASP calculation (PBE) on a relaxed structure of Tb3Dy3ErS8.

a = 7.808 Å, b = 7.808 Å, c = 7.815 Å
α = 119.97°, β = 90.00°, γ = 120.00°
Positions (direct):
Tb1 0.000 0.000 0.000
Tb2 0.000 0.500 0.000
Tb3 0.500 0.500 0.000
Dy1 0.500 0.000 0.500
Dy2 0.500 0.500 0.500
Dy3 0.000 0.500 0.500
Er1 0.000 0.000 0.500
S1 0.251 0.501 0.252
S2 0.749 0.499 0.748
S3 0.752 0.503 0.253
S4 0.248 0.497 0.747
S5 0.752 0.001 0.253
S6 0.248 0.999 0.747
S7 0.250 0.001 0.253
S8 0.750 0.999 0.747

Computed properties:
Density: 6.8 g cm⁻³
Energy relative to the elements, uncorrected: -2.056 eV/atom


Record 5
VASP calculation (PBE) on a relaxed structure of BeZnTc2.

a = 4.510 Å, b = 4.510 Å, c = 4.517 Å
α = 79.98°, β = 79.98°, γ = 35.77°
Positions (direct):
Be1 0.255 0.255 0.265
Zn1 0.505 0.505 0.476
Tc1 0.992 0.992 0.992
Tc2 0.748 0.748 0.767

Computed properties:
Excess energy over the best structure of this formula in the dataset: 0.545 eV per formula unit
Density: 8.5 g cm⁻³
Calculated formation energy: 0.0984 eV/atom